Record 1
A relaxed structure of Ag5Bi2Pd12, computed with PBE-GGA.

Lattice parameters (Å, degrees): 7.7444 7.7444 5.9918 92.88 92.88 67.89
With the nearest neighbours (Å) after each atom.
Atoms (fractional coordinates):
Ag: 0.0000 0.0000 0.0000  6 Pd 2.72-2.88, 2 Ag 3.03
Ag: 0.2355 0.2355 0.0009  10 Pd 2.76-2.98, 2 Ag 2.79-3.03
Ag: 0.3351 0.3351 0.5990  9 Pd 2.74-2.91, 1 Ag 2.79
Ag: 0.6649 0.6649 0.4010  9 Pd 2.74-2.91, 1 Ag 2.79
Ag: 0.7645 0.7645 0.9991  10 Pd 2.76-2.98, 2 Ag 2.79-3.03
Bi: 0.2337 0.7663 0.5000  8 Pd 2.76-2.93
Bi: 0.7663 0.2337 0.5000  8 Pd 2.76-2.93
Pd: 0.0554 0.5474 0.2988  6 Pd 2.76-3.07, 1 Bi 2.76, 4 Ag 2.80-2.90
Pd: 0.1380 0.1380 0.3981  3 Ag 2.74-2.88, 2 Bi 2.78, 4 Pd 2.93-2.95
Pd: 0.1662 0.6294 0.9000  4 Ag 2.72-2.98, 6 Pd 2.76-2.95, 1 Bi 2.82
Pd: 0.3706 0.8338 0.1000  4 Ag 2.72-2.98, 6 Pd 2.76-2.95, 1 Bi 2.82
Pd: 0.4516 0.4516 0.2098  7 Pd 2.79-2.94, 3 Ag 2.85-2.98, 2 Bi 2.93
Pd: 0.4526 0.9446 0.7012  6 Pd 2.76-3.07, 1 Bi 2.76, 4 Ag 2.80-2.90
Pd: 0.5474 0.0554 0.2988  6 Pd 2.76-3.07, 1 Bi 2.76, 4 Ag 2.80-2.90
Pd: 0.5484 0.5484 0.7902  7 Pd 2.79-2.94, 3 Ag 2.85-2.98, 2 Bi 2.93
Pd: 0.6294 0.1662 0.9000  4 Ag 2.72-2.98, 6 Pd 2.76-2.95, 1 Bi 2.82
Pd: 0.8338 0.3706 0.1000  4 Ag 2.72-2.98, 6 Pd 2.76-2.95, 1 Bi 2.82
Pd: 0.8620 0.8620 0.6019  3 Ag 2.74-2.88, 2 Bi 2.78, 4 Pd 2.93-2.95
Pd: 0.9446 0.4526 0.7012  6 Pd 2.76-3.07, 1 Bi 2.76, 4 Ag 2.80-2.90

Results
Magnetization (μB per cell): 0.000
DFT formation energy (meV per atom): -72.9
Crystal system: monoclinic
Symmetry: C2/m, No. 12


Record 2
A relaxed structure of AgBi12Pd6, computed with PBE-GGA.

Lattice parameters (Å, degrees): 8.3091 8.3091 8.3091 101.09 101.09 101.09
With the nearest neighbours (Å) after each atom.
Atoms (fractional coordinates):
Ag: 0.0000 0.0000 0.0000  6 Bi 2.94
Bi: 0.0519 0.9119 0.3296  3 Pd 2.80-3.05, 1 Ag 2.94
Bi: 0.0881 0.6704 0.9481  3 Pd 2.80-3.05, 1 Ag 2.94
Bi: 0.1783 0.4376 0.5790  4 Pd 2.87-2.98
Bi: 0.3296 0.0519 0.9119  3 Pd 2.80-3.05, 1 Ag 2.94
Bi: 0.4210 0.8217 0.5624  4 Pd 2.87-2.98
Bi: 0.4376 0.5790 0.1783  4 Pd 2.87-2.98
Bi: 0.5624 0.4210 0.8217  4 Pd 2.87-2.98
Bi: 0.5790 0.1783 0.4376  4 Pd 2.87-2.98
Bi: 0.6704 0.9481 0.0881  3 Pd 2.80-3.05, 1 Ag 2.94
Bi: 0.8217 0.5624 0.4210  4 Pd 2.87-2.98
Bi: 0.9119 0.3296 0.0519  3 Pd 2.80-3.05, 1 Ag 2.94
Bi: 0.9481 0.0881 0.6704  3 Pd 2.80-3.05, 1 Ag 2.94
Pd: 0.1386 0.5999 0.2989  7 Bi 2.80-3.05
Pd: 0.2989 0.1386 0.5999  7 Bi 2.80-3.05
Pd: 0.4001 0.7011 0.8614  7 Bi 2.80-3.05
Pd: 0.5999 0.2989 0.1386  7 Bi 2.80-3.05
Pd: 0.7011 0.8614 0.4001  7 Bi 2.80-3.05
Pd: 0.8614 0.4001 0.7011  7 Bi 2.80-3.05

Results
Magnetization (μB per cell): 0.000
DFT formation energy (meV per atom): -165.9
Crystal system: trigonal
Symmetry: R-3, No. 148


Record 3
A relaxed structure of AgBi2Pd, computed with PBE-GGA.

Lattice parameters (Å, degrees): 4.8341 4.8341 3.9468 90.00 90.00 90.00
With the nearest neighbours (Å) after each atom.
Atoms (fractional coordinates):
Ag: 0.0000 0.0000 0.0000  8 Bi 3.12, 4 Pd 3.42
Bi: 0.0000 0.5000 0.5000  4 Pd 3.12, 4 Ag 3.12, 4 Bi 3.42
Bi: 0.5000 0.0000 0.5000  4 Pd 3.12, 4 Ag 3.12, 4 Bi 3.42
Pd: 0.5000 0.5000 0.0000  8 Bi 3.12, 4 Ag 3.42

Results
Magnetization (μB per cell): 0.000
DFT formation energy (meV per atom): -48.8
Crystal system: tetragonal
Symmetry: P4/mmm, No. 123


Record 4
A relaxed structure of Ag4BiPd3, computed with PBE-GGA.

Lattice parameters (Å, degrees): 9.0329 9.0329 4.1286 103.02 103.02 26.28
With the nearest neighbours (Å) after each atom.
Atoms (fractional coordinates):
Ag: 0.1349 0.1349 0.1358  6 Pd 2.84-3.09, 4 Ag 2.91, 2 Bi 3.09-3.10
Ag: 0.3650 0.3650 0.3635  6 Pd 2.85-3.11, 4 Ag 2.91, 2 Bi 3.09
Ag: 0.6350 0.6350 0.6365  6 Pd 2.85-3.11, 4 Ag 2.91, 2 Bi 3.09
Ag: 0.8651 0.8651 0.8642  6 Pd 2.84-3.09, 4 Ag 2.91, 2 Bi 3.09-3.10
Bi: 0.0000 0.0000 0.5000  4 Pd 2.91, 8 Ag 3.09-3.10
Pd: 0.2501 0.2501 0.7500  8 Ag 2.84-2.86, 4 Pd 2.91
Pd: 0.5000 0.5000 0.0000  4 Bi 2.91, 8 Ag 3.09-3.11
Pd: 0.7499 0.7499 0.2500  8 Ag 2.84-2.86, 4 Pd 2.91

Results
Magnetization (μB per cell): 0.000
DFT formation energy (meV per atom): -42.2
Crystal system: monoclinic
Symmetry: C2/m, No. 12


Record 5
A relaxed structure of Ag12BiPd6, computed with PBE-GGA.

Lattice parameters (Å, degrees): 7.6190 7.6190 7.6190 106.84 106.84 106.84
With the nearest neighbours (Å) after each atom.
Atoms (fractional coordinates):
Ag: 0.0000 0.3854 0.6146  4 Pd 2.76-2.82, 5 Ag 2.80-3.06
Ag: 0.0000 0.6146 0.3854  4 Pd 2.76-2.82, 5 Ag 2.80-3.06
Ag: 0.1494 0.1494 0.3953  4 Pd 2.71-2.94, 4 Ag 2.80-3.01, 1 Bi 2.88
Ag: 0.1494 0.3953 0.1494  4 Pd 2.71-2.94, 4 Ag 2.80-3.01, 1 Bi 2.88
Ag: 0.3854 0.0000 0.6146  4 Pd 2.76-2.82, 5 Ag 2.80-3.06
Ag: 0.3854 0.6146 0.0000  4 Pd 2.76-2.82, 5 Ag 2.80-3.06
Ag: 0.3953 0.1494 0.1494  4 Pd 2.71-2.94, 4 Ag 2.80-3.01, 1 Bi 2.88
Ag: 0.6047 0.8506 0.8506  4 Pd 2.71-2.94, 4 Ag 2.80-3.01, 1 Bi 2.88
Ag: 0.6146 0.0000 0.3854  4 Pd 2.76-2.82, 5 Ag 2.80-3.06
Ag: 0.6146 0.3854 0.0000  4 Pd 2.76-2.82, 5 Ag 2.80-3.06
Ag: 0.8506 0.6047 0.8506  4 Pd 2.71-2.94, 4 Ag 2.80-3.01, 1 Bi 2.88
Ag: 0.8506 0.8506 0.6047  4 Pd 2.71-2.94, 4 Ag 2.80-3.01, 1 Bi 2.88
Bi: 0.5000 0.5000 0.5000  6 Ag 2.88
Pd: 0.1922 0.1922 0.8037  8 Ag 2.71-2.94, 2 Pd 2.95
Pd: 0.1922 0.8037 0.1922  8 Ag 2.71-2.94, 2 Pd 2.95
Pd: 0.1963 0.8078 0.8078  8 Ag 2.71-2.94, 2 Pd 2.95
Pd: 0.8037 0.1922 0.1922  8 Ag 2.71-2.94, 2 Pd 2.95
Pd: 0.8078 0.1963 0.8078  8 Ag 2.71-2.94, 2 Pd 2.95
Pd: 0.8078 0.8078 0.1963  8 Ag 2.71-2.94, 2 Pd 2.95

Results
Magnetization (μB per cell): 0.000
DFT formation energy (meV per atom): 172.6
Crystal system: trigonal
Symmetry: R-3m, No. 166


Record 6
A relaxed structure of AgBi2Pd, computed with PBE-GGA.

Lattice parameters (Å, degrees): 3.4275 3.4275 7.8944 90.00 90.00 90.00
With the nearest neighbours (Å) after each atom.
Atoms (fractional coordinates):
Ag: 0.0000 0.0000 0.0000  8 Bi 3.22, 4 Ag 3.43
Bi: 0.5000 0.5000 0.2684  4 Pd 3.04, 4 Ag 3.22
Bi: 0.5000 0.5000 0.7316  4 Pd 3.04, 4 Ag 3.22
Pd: 0.0000 0.0000 0.5000  8 Bi 3.04

Results
Magnetization (μB per cell): 0.000
DFT formation energy (meV per atom): -89.4
Crystal system: tetragonal
Symmetry: P4/mmm, No. 123